A relaxed ThBiPdN crystal, computed with GGA-PBE.

The calculation puts the magnetic moment at 0.0 μB per cell. The crystal system is tetragonal. The value obtained for the total energy is -7.019 eV/atom. The mass density comes out at 10.616 Mg/m³.

The space group is I4mm (No. 107) and the conventional cell measures 3.486, 3.486 and 14.452 Å, with angles of 90.00, 90.00 and 90.00 degrees. Symmetry generates all atoms from Th at (0.000, 0.000, 0.000), Bi at (0.000, 0.000, 0.256), Pd at (0.000, 0.000, 0.647) and N at (0.000, 0.000, 0.492).